No. 1
# PBEsol CeAl4Ge2Au, relaxed
data_CeAl4Ge2Au
_chemical_formula_sum 'Ce3 Al12 Ge6 Au3'
_symmetry_space_group_name_H-M 'R -3 m'
_symmetry_Int_Tables_number 166
_symmetry_space_group_name_Hall '-R 3 2"'
_cell_length_a 4.2188
_cell_length_b 4.2188
_cell_length_c 30.9416
_cell_angle_alpha 90.00
_cell_angle_beta 90.00
_cell_angle_gamma 120.00
loop_
_atom_site_label
_atom_site_type_symbol
_atom_site_fract_x
_atom_site_fract_y
_atom_site_fract_z
Ce1 Ce 0.0000 0.0000 0.0000
Al1 Al 0.0000 0.0000 0.1923
Al2 Al 0.0000 0.0000 0.4164
Ge1 Ge 0.0000 0.0000 0.2772
Au1 Au 0.0000 0.0000 0.5000
# - calculated total energy (eV/atom) = -5.024
# - crystal system = trigonal
# - ΔE_f (meV per atom) = -428.6

No. 2
# PBEsol CoRh4, relaxed
data_CoRh4
_chemical_formula_sum 'Co3 Rh12'
_symmetry_space_group_name_H-M 'R -3 m'
_symmetry_Int_Tables_number 166
_symmetry_space_group_name_Hall '-R 3 2"'
_cell_length_a 2.6457
_cell_length_b 2.6457
_cell_length_c 31.9466
_cell_angle_alpha 90.00
_cell_angle_beta 90.00
_cell_angle_gamma 120.00
loop_
_atom_site_label
_atom_site_type_symbol
_atom_site_fract_x
_atom_site_fract_y
_atom_site_fract_z
Co1 Co 0.0000 0.0000 0.0000
Rh1 Rh 0.0000 0.0000 0.2007
Rh2 Rh 0.0000 0.0000 0.3969
# - calculated total energy (eV/atom) = -8.021
# - crystal system = trigonal
# - ΔE_f (meV per atom) = 37.7
# - E above lowest polymorph (meV/atom) = 3.9

- The highest calculated total energy belongs to which entry?
  CeAl4Ge2Au

- What is the ΔE_f in the first record?
  -428.6 meV per atom